{
  "formula": "LaScPb2",
  "functional": "PBE-GGA",
  "state": "optimized geometry",
  "cell": [[-0.819, -2.869, -2.181], [0.041, -3.202, 4.196], [-6.200, 1.092, 0.893]],
  "species": ["La", "Pb", "Pb", "Sc"],
  "frac_coords": [[0.500, 0.500, 0.875], [0.000, 0.000, 0.875], [0.500, 0.500, 0.375], [0.000, 0.000, 0.375]],
  "delta_e_f_mev_per_atom": -292,
  "total_energy_ev_per_atom": -4.961,
  "crystal_system": "orthorhombic",
  "magnetic_moment_mub_per_fu": 0.00
}


{
  "formula": "Tm4ZrIn2",
  "functional": "PBE-GGA",
  "state": "optimized geometry",
  "cell": [[5.327, 0.000, 0.000], [2.663, 4.613, 0.000], [2.663, 1.538, 8.455]],
  "species": ["Tm", "Tm", "Tm", "Tm", "Zr", "In", "In"],
  "frac_coords": [[0.738, 0.738, 0.785], [0.870, 0.870, 0.391], [0.262, 0.262, 0.215], [0.130, 0.130, 0.609], [0.500, 0.500, 0.500], [0.618, 0.618, 0.147], [0.382, 0.382, 0.853]],
  "delta_e_f_mev_per_atom": 52,
  "total_energy_ev_per_atom": -4.506,
  "crystal_system": "trigonal",
  "magnetic_moment_mub_per_fu": 0.00
}